Entry 1:
The following is a PBE-GGA calculation of crystalline Zr2CrPb at its relaxed geometry, from Alexandria.

Unit cell a=3.671 b=4.943 c=8.946 alpha=90.00 beta=90.00 gamma=90.00
Space group Immm (No. 71)
Unique sites:
Zr  0.000  0.000  0.215 [4 per cell]
Cr  0.000  0.500  0.500 [2 per cell]
Pb  0.000  0.500  0.000 [2 per cell]

Summary:
For the total magnetization, the calculation gives 0.002 μB/f.u. For the formation energy, the calculation gives 0.15 eV/atom. The mass density is 9034 kg/m³.

---

Entry 2:
The following is a PBE-GGA calculation of crystalline BaLa3Ru at its relaxed geometry, from Alexandria.

Unit cell a=7.6508 b=7.6508 c=11.0300 alpha=90.00 beta=90.00 gamma=120.00
Space group R3m (No. 160, hexagonal axes)
Unique sites:
Ba  0.0000  0.0000  0.0000 [3 per cell]
La  0.1732  0.3465  0.2571 [9 per cell]
Ru  0.0000  0.0000  0.7275 [3 per cell]

Summary:
For the total magnetization, the calculation gives 0.000 μB/f.u. For the formation energy, the calculation gives 0.14 eV/atom. The mass density is 5837 kg/m³.

---

Entry 3:
The following is a PBE-GGA calculation of crystalline K3AuS8 at its relaxed geometry, from Alexandria.

Unit cell a=10.179 b=12.614 c=7.668 alpha=90.00 beta=131.54 gamma=90.00
Space group Cm (No. 8)
Unique sites:
K  0.000  0.000  0.000 [2 per cell]
K  0.015  0.250  0.499 [4 per cell]
Au  0.100  0.500  0.996 [2 per cell]
S  0.058  0.000  0.482 [2 per cell]
S  0.078  0.500  0.516 [2 per cell]
S  0.102  0.307  0.999 [4 per cell]
S  0.329  0.500  0.415 [2 per cell]
S  0.412  0.000  0.578 [2 per cell]
S  0.416  0.248  0.998 [4 per cell]

Summary:
For the total magnetization, the calculation gives 0.000 μB/f.u. The mass density is 2572 kg/m³. The calculation puts the formation energy (no corrections) at -0.42 eV per atom.